An optimized crystal structure of LaMg2NiF. Source: Alexandria, functional PBE+U.

The total magnetization comes out at 0.13 μB per atom. The calculated total energy is -12.837 eV per cell. As for the crystal system: tetragonal.

CIF file:
```
data_LaMg2NiF
_chemical_formula_sum 'La1 Mg2 Ni1 F1'
_space_group_name_H-M_alt 'P 4/m m m'
_space_group_IT_number 123
_space_group_name_Hall '-P 4 2'
_cell_length_a 4.516
_cell_length_b 4.516
_cell_length_c 5.546
_cell_angle_alpha 90.00
_cell_angle_beta 90.00
_cell_angle_gamma 90.00
loop_
_atom_site_label
_atom_site_type_symbol
_atom_site_fract_x
_atom_site_fract_y
_atom_site_fract_z
_atom_site_occupancy
La1 La 0.000 0.000 0.000 1
Mg1 Mg 0.000 0.500 0.500 1
Ni1 Ni 0.500 0.500 0.500 1
F1 F 0.500 0.500 0.000 1
```